The following is a DFT calculation (PBE) of HfCu2Ir after structural relaxation.

abc: 9.7916 9.7916 9.7916
angles: 158.08 158.08 31.19
With the nearest neighbours (Å) after each atom.
Fractional positions:
Hf: 0.0000 0.0000 0.0000  4 Ir 2.63, 4 Cu 2.74
Hf: 0.7500 0.2500 0.5000  4 Ir 2.63, 4 Cu 2.74
Cu: 0.1575 0.6250 0.0325  2 Cu 2.47, 2 Ir 2.66, 2 Hf 2.74
Cu: 0.3750 0.4075 0.5325  2 Cu 2.47, 2 Ir 2.66, 2 Hf 2.74
Cu: 0.5925 0.1250 0.9675  2 Cu 2.47, 2 Ir 2.66, 2 Hf 2.74
Cu: 0.8750 0.8425 0.4675  2 Cu 2.47, 2 Ir 2.66, 2 Hf 2.74
Ir: 0.2500 0.7500 0.5000  4 Hf 2.63, 4 Cu 2.66
Ir: 0.5000 0.5000 0.0000  4 Hf 2.63, 4 Cu 2.66

Output
Space group: I-42d, No. 122
Final energy: -6.816 eV per atom
Total magnetization: 0.000 μB/atom
N(E_F): 0.44 states/eV per atom
Calculated volume: 130.7 Å³ per cell



The following is a DFT calculation (PBE) of Hf6CuIr3 after structural relaxation.

abc: 6.9250 6.6327 10.8660
angles: 90.00 125.81 90.00
With the nearest neighbours (Å) after each atom.
Fractional positions:
Hf: 0.0320 0.0672 0.2553  3 Ir 2.68-2.71, 1 Cu 2.77
Hf: 0.0320 0.4328 0.7553  3 Ir 2.68-2.71, 1 Cu 2.77
Hf: 0.2216 0.6521 0.0718  3 Ir 2.62-2.85, 1 Cu 2.67
Hf: 0.2216 0.8479 0.5718  3 Ir 2.62-2.85, 1 Cu 2.67
Hf: 0.3973 0.1599 0.0675  1 Cu 2.60, 4 Ir 2.62-2.90
Hf: 0.3973 0.3401 0.5675  1 Cu 2.60, 4 Ir 2.62-2.90
Hf: 0.6027 0.6599 0.4325  1 Cu 2.60, 4 Ir 2.62-2.90
Hf: 0.6027 0.8401 0.9325  1 Cu 2.60, 4 Ir 2.62-2.90
Hf: 0.7784 0.1521 0.4282  3 Ir 2.62-2.85, 1 Cu 2.67
Hf: 0.7784 0.3479 0.9282  3 Ir 2.62-2.85, 1 Cu 2.67
Hf: 0.9680 0.5672 0.2447  3 Ir 2.68-2.71, 1 Cu 2.77
Hf: 0.9680 0.9328 0.7447  3 Ir 2.68-2.71, 1 Cu 2.77
Cu: 0.5000 0.0000 0.5000  6 Hf 2.60-2.77
Cu: 0.5000 0.5000 0.0000  6 Hf 2.60-2.77
Ir: 0.0000 0.0000 0.0000  6 Hf 2.62-2.69
Ir: 0.0000 0.5000 0.5000  6 Hf 2.62-2.69
Ir: 0.3289 0.1500 0.7793  7 Hf 2.63-2.90
Ir: 0.3289 0.3500 0.2793  7 Hf 2.63-2.90
Ir: 0.6711 0.6500 0.7207  7 Hf 2.63-2.90
Ir: 0.6711 0.8500 0.2207  7 Hf 2.63-2.90

Output
Space group: P2_1/c, No. 14
Final energy: -9.459 eV per atom
Total magnetization: 0.000 μB/atom
N(E_F): 0.82 states/eV per atom
Calculated volume: 404.8 Å³ per cell



The following is a DFT calculation (PBE) of LiHfCuIr after structural relaxation.

abc: 4.4252 4.4252 4.4252
angles: 60.00 60.00 60.00
With the nearest neighbours (Å) after each atom.
Fractional positions:
Li: 0.0000 0.0000 0.0000  4 Ir 2.71, 4 Cu 2.71
Hf: 0.5000 0.5000 0.5000  4 Ir 2.71, 4 Cu 2.71
Cu: 0.2500 0.2500 0.2500  4 Hf 2.71, 4 Li 2.71
Ir: 0.7500 0.7500 0.7500  4 Hf 2.71, 4 Li 2.71

Output
Space group: F-43m, No. 216
Final energy: -6.605 eV per atom
Total magnetization: 0.000 μB/atom
N(E_F): 0.63 states/eV per atom
Calculated volume: 61.3 Å³ per cell



The following is a DFT calculation (PBE) of LuHfCuIr after structural relaxation.

abc: 4.6886 4.6886 4.6886
angles: 60.00 60.00 60.00
With the nearest neighbours (Å) after each atom.
Fractional positions:
Lu: 0.0000 0.0000 0.0000  4 Ir 2.87, 4 Cu 2.87
Hf: 0.5000 0.5000 0.5000  4 Ir 2.87, 4 Cu 2.87
Cu: 0.2500 0.2500 0.2500  4 Hf 2.87, 4 Lu 2.87
Ir: 0.7500 0.7500 0.7500  4 Hf 2.87, 4 Lu 2.87

Output
Space group: F-43m, No. 216
Final energy: -7.473 eV per atom
Total magnetization: 0.000 μB/atom
N(E_F): 0.64 states/eV per atom
Calculated volume: 72.9 Å³ per cell



The following is a DFT calculation (PBE) of HfMnCuIr after structural relaxation.

abc: 4.4664 4.4664 4.4664
angles: 60.00 60.00 60.00
With the nearest neighbours (Å) after each atom.
Fractional positions:
Hf: 0.0000 0.0000 0.0000  4 Ir 2.74, 4 Cu 2.74
Mn: 0.5000 0.5000 0.5000  4 Ir 2.74, 4 Cu 2.74
Cu: 0.2500 0.2500 0.2500  4 Hf 2.74, 4 Mn 2.74
Ir: 0.7500 0.7500 0.7500  4 Hf 2.74, 4 Mn 2.74

Output
Space group: F-43m, No. 216
Final energy: -8.343 eV per atom
Total magnetization: 1.042 μB/atom
N(E_F): 0.59 states/eV per atom
Calculated volume: 63.0 Å³ per cell



The following is a DFT calculation (PBE) of HfCuNiIr after structural relaxation.

abc: 4.3637 4.3637 4.3637
angles: 60.00 60.00 60.00
With the nearest neighbours (Å) after each atom.
Fractional positions:
Hf: 0.0000 0.0000 0.0000  4 Ni 2.67, 4 Ir 2.67
Cu: 0.5000 0.5000 0.5000  4 Ni 2.67, 4 Ir 2.67
Ni: 0.2500 0.2500 0.2500  4 Hf 2.67, 4 Cu 2.67
Ir: 0.7500 0.7500 0.7500  4 Hf 2.67, 4 Cu 2.67

Output
Space group: F-43m, No. 216
Final energy: -7.609 eV per atom
Total magnetization: 0.000 μB/atom
N(E_F): 0.26 states/eV per atom
Calculated volume: 58.8 Å³ per cell



Which value of N(E_F) does entry 3 give?
0.63 states/eV per atom



The lowest final energy belongs to which entry?
Hf6CuIr3



What did the sixth record say?
The following is a DFT calculation (PBE) of HfCuNiIr after structural relaxation.

abc: 4.3637 4.3637 4.3637
angles: 60.00 60.00 60.00
With the nearest neighbours (Å) after each atom.
Fractional positions:
Hf: 0.0000 0.0000 0.0000  4 Ni 2.67, 4 Ir 2.67
Cu: 0.5000 0.5000 0.5000  4 Ni 2.67, 4 Ir 2.67
Ni: 0.2500 0.2500 0.2500  4 Hf 2.67, 4 Cu 2.67
Ir: 0.7500 0.7500 0.7500  4 Hf 2.67, 4 Cu 2.67

Output
Space group: F-43m, No. 216
Final energy: -7.609 eV per atom
Total magnetization: 0.000 μB/atom
N(E_F): 0.26 states/eV per atom
Calculated volume: 58.8 Å³ per cell



Which value of total magnetization does entry 3 give?
0.000 μB/atom